K3PmNd2O6 | PBE | relaxed

Unit cell a=6.295 b=10.902 c=6.647 alpha=90.00 beta=108.41 gamma=90.00
Space group C2/m (No. 12)
Asymmetric unit:
1 K 0.000 0.000 0.000 (multiplicity 2)
2 K 0.000 0.334 0.000 (multiplicity 4)
3 Pm 0.000 0.500 0.500 (multiplicity 2)
4 Nd 0.000 0.167 0.500 (multiplicity 4)
5 O 0.229 0.334 0.691 (multiplicity 8)
6 O 0.232 0.000 0.691 (multiplicity 4)

Results
The crystal system is monoclinic. The size of the total moment is 0.00 μB/f.u. The calculation puts the uncorrected formation energy at -60.44 kcal/mol of atoms. The calculation puts the raw total energy at -6.56 eV per atom.